Entry 1:
A plane-wave DFT calculation with GGA-PBEsol was carried out for BaSb2F12 after structural relaxation.

Results
Its formation energy without anion corrections is -2.66 eV/atom. The calculation puts the uncorrected energy at -4.956 eV per atom.

Lattice parameters (Å, degrees): 5.3697 5.6467 9.5350 92.92 105.32 115.75
Space group P1 (No. 1)
Unique sites:
Ba 0.0000 0.0000 0.0000 (multiplicity 1)
Sb 0.1427 0.5080 0.6756 (multiplicity 1)
Sb 0.4009 0.6936 0.2409 (multiplicity 1)
F 0.0632 0.5363 0.0598 (multiplicity 1)
F 0.0632 0.7602 0.7779 (multiplicity 1)
F 0.1806 0.4002 0.3170 (multiplicity 1)
F 0.2306 0.9132 0.2799 (multiplicity 1)
F 0.2538 0.2607 0.6091 (multiplicity 1)
F 0.3759 0.7826 0.5933 (multiplicity 1)
F 0.4800 0.6253 0.8539 (multiplicity 1)
F 0.5247 0.4690 0.1505 (multiplicity 1)
F 0.5750 0.9532 0.1231 (multiplicity 1)
F 0.7405 0.8577 0.4024 (multiplicity 1)
F 0.7980 0.3963 0.5175 (multiplicity 1)
F 0.9354 0.2511 0.7833 (multiplicity 1)

Entry 2:
A plane-wave DFT calculation with GGA-PBEsol was carried out for BaSbF5 after structural relaxation.

Results
Its formation energy without anion corrections is -3.07 eV/atom. The calculation puts the uncorrected energy at -5.405 eV per atom.

Lattice parameters (Å, degrees): 4.6890 9.2848 11.2397 90.00 90.00 90.00
Space group Pbcm (No. 57)
Unique sites:
Ba 0.0254 0.2500 0.0000 (multiplicity 4)
Sb 0.4013 0.0531 0.2500 (multiplicity 4)
F 0.1075 0.2093 0.2500 (multiplicity 4)
F 0.1143 0.5122 0.6162 (multiplicity 8)
F 0.4610 0.6926 0.1146 (multiplicity 8)

Entry 3:
A plane-wave DFT calculation with GGA-PBEsol was carried out for BaSbF2 after structural relaxation.

Results
Its formation energy without anion corrections is -1.99 eV/atom. The calculation puts the uncorrected energy at -4.632 eV per atom.

Lattice parameters (Å, degrees): 7.1055 7.1055 7.4993 90.00 90.00 90.00
Space group I-42d (No. 122)
Unique sites:
Ba 0.0000 0.0000 0.0000 (multiplicity 4)
Sb 0.0000 0.0000 0.5000 (multiplicity 4)
F 0.2108 0.2500 0.1250 (multiplicity 8)

Entry 4:
A plane-wave DFT calculation with GGA-PBEsol was carried out for BaSbF7 after structural relaxation.

Results
Its formation energy without anion corrections is -2.84 eV/atom. The calculation puts the uncorrected energy at -5.084 eV per atom.

Lattice parameters (Å, degrees): 5.5686 9.8222 10.1921 90.00 91.32 90.00
Space group P2_1/c (No. 14)
Unique sites:
Ba 0.1888 0.1747 0.0090 (multiplicity 4)
Sb 0.3306 0.6087 0.1842 (multiplicity 4)
F 0.0405 0.6909 0.2425 (multiplicity 4)
F 0.1168 0.5449 0.6126 (multiplicity 4)
F 0.1675 0.0530 0.6330 (multiplicity 4)
F 0.2655 0.6948 0.0182 (multiplicity 4)
F 0.3762 0.0437 0.3823 (multiplicity 4)
F 0.3916 0.5410 0.3586 (multiplicity 4)
F 0.4830 0.2357 0.7618 (multiplicity 4)

Entry 5:
A plane-wave DFT calculation with GGA-PBEsol was carried out for Ba2TaSbF after structural relaxation.

Results
Its formation energy without anion corrections is -0.28 eV/atom. The calculation puts the uncorrected energy at -4.943 eV per atom.

Lattice parameters (Å, degrees): 6.3099 6.3099 4.0516 90.00 90.00 90.00
Space group P4/mmm (No. 123)
Unique sites:
Ba 0.0000 0.5000 0.0000 (multiplicity 2)
Ta 0.0000 0.0000 0.0000 (multiplicity 1)
Sb 0.5000 0.5000 0.5000 (multiplicity 1)
F 0.0000 0.0000 0.5000 (multiplicity 1)

Entry 6:
A plane-wave DFT calculation with GGA-PBEsol was carried out for BaSb2TeF after structural relaxation.

Results
Its formation energy without anion corrections is -0.83 eV/atom. The calculation puts the uncorrected energy at -4.175 eV per atom.

Lattice parameters (Å, degrees): 4.9099 4.9099 5.5067 90.00 90.00 90.00
Space group P4/mmm (No. 123)
Unique sites:
Ba 0.0000 0.0000 0.0000 (multiplicity 1)
Sb 0.0000 0.5000 0.5000 (multiplicity 2)
Te 0.5000 0.5000 0.0000 (multiplicity 1)
F 0.5000 0.5000 0.5000 (multiplicity 1)

Entry 7:
A plane-wave DFT calculation with GGA-PBEsol was carried out for BaZnSbF7 after structural relaxation.

Results
Its formation energy without anion corrections is -2.80 eV/atom. The calculation puts the uncorrected energy at -4.979 eV per atom.

Lattice parameters (Å, degrees): 5.5417 10.8937 9.7472 90.00 94.54 90.00
Space group P2_1/c (No. 14)
Unique sites:
Ba 0.2452 0.1565 0.0329 (multiplicity 4)
Zn 0.2013 0.6469 0.7918 (multiplicity 4)
Sb 0.2859 0.5788 0.1419 (multiplicity 4)
F 0.0120 0.6954 0.2275 (multiplicity 4)
F 0.1093 0.1205 0.6142 (multiplicity 4)
F 0.1241 0.5639 0.6192 (multiplicity 4)
F 0.3336 0.7217 0.9682 (multiplicity 4)
F 0.3578 0.0128 0.3721 (multiplicity 4)
F 0.3677 0.5218 0.3421 (multiplicity 4)
F 0.4815 0.7322 0.2223 (multiplicity 4)

Entry 8:
A plane-wave DFT calculation with GGA-PBEsol was carried out for Ba2SeF after structural relaxation.

Results
Its formation energy without anion corrections is -2.12 eV/atom. The calculation puts the uncorrected energy at -4.635 eV per atom.

Lattice parameters (Å, degrees): 6.7322 6.7322 13.1560 90.00 90.00 90.00
Space group I-42d (No. 122)
Unique sites:
Ba 0.2026 0.2500 0.1250 (multiplicity 8)
Se 0.0000 0.0000 0.5000 (multiplicity 4)
F 0.0000 0.0000 0.0000 (multiplicity 4)

Entry 9:
A plane-wave DFT calculation with GGA-PBEsol was carried out for BaSrSeF2 after structural relaxation.

Results
Its formation energy without anion corrections is -0.80 eV/atom. The calculation puts the uncorrected energy at -3.136 eV per atom.

Lattice parameters (Å, degrees): 5.2036 5.2036 5.7920 90.00 90.00 90.00
Space group P4/mmm (No. 123)
Unique sites:
Ba 0.0000 0.0000 0.0000 (multiplicity 1)
Sr 0.5000 0.5000 0.0000 (multiplicity 1)
Se 0.0000 0.0000 0.5000 (multiplicity 1)
F 0.0000 0.5000 0.5000 (multiplicity 2)

Entry 10:
A plane-wave DFT calculation with GGA-PBEsol was carried out for Ba3SiF after structural relaxation.

Results
Its formation energy without anion corrections is -1.16 eV/atom. Its polymorph energy (0 for the lowest one) is 0.000 eV/atom. The calculation puts the uncorrected energy at -3.981 eV per atom.

Lattice parameters (Å, degrees): 5.3138 5.3138 5.3138 90.00 90.00 90.00
Space group Pm-3m (No. 221)
Unique sites:
Ba 0.0000 0.0000 0.5000 (multiplicity 3)
Si 0.5000 0.5000 0.5000 (multiplicity 1)
F 0.0000 0.0000 0.0000 (multiplicity 1)

Entry 11:
A plane-wave DFT calculation with GGA-PBEsol was carried out for BaSi2F after structural relaxation.

Results
Its formation energy without anion corrections is 0.08 eV/atom. The calculation puts the uncorrected energy at -3.811 eV per atom.

Lattice parameters (Å, degrees): 7.0494 7.0494 7.0494 90.00 90.00 90.00
Space group Fm-3m (No. 225)
Unique sites:
Ba 0.0000 0.0000 0.0000 (multiplicity 4)
Si 0.2500 0.2500 0.2500 (multiplicity 8)
F 0.0000 0.0000 0.5000 (multiplicity 4)

Entry 12:
A plane-wave DFT calculation with GGA-PBEsol was carried out for BaSnF4 after structural relaxation.

Results
Its formation energy without anion corrections is -3.10 eV/atom. The calculation puts the uncorrected energy at -5.450 eV per atom.

Lattice parameters (Å, degrees): 4.3339 4.3339 10.8446 90.00 90.00 90.00
Space group P4/nmm (No. 129, origin choice 2)
Unique sites:
Ba 0.2500 0.2500 0.1361 (multiplicity 2)
Sn 0.2500 0.2500 0.6199 (multiplicity 2)
F 0.2500 0.2500 0.8125 (multiplicity 2)
F 0.2500 0.7500 0.0000 (multiplicity 2)
F 0.2500 0.7500 0.3198 (multiplicity 4)